[1]
Compound: PmTiAg2
Source: the Alexandria database
Functional: GGA-PBE
Structure: relaxed

Cell lengths 3.456, 3.456, 7.198 Å; angles 90.00, 90.00, 90.00 degrees
Element x y z (fractional)
1 Pm 0.000 0.000 0.000
2 Ti 0.000 0.000 0.500
3 Ag 0.500 0.500 0.293
4 Ag 0.500 0.500 0.707

Summary:
As for the formation energy from the elements: 0.0 eV per formula unit.

[2]
Compound: Pm5Tl8Ag
Source: the Alexandria database
Functional: GGA-PBE
Structure: relaxed

Cell lengths 8.101, 8.101, 8.101 Å; angles 108.76, 108.76, 110.91 degrees
Element x y z (fractional)
1 Pm 0.000 0.000 0.000
2 Pm 0.104 0.246 0.635
3 Pm 0.531 0.896 0.141
4 Pm 0.610 0.469 0.365
5 Pm 0.754 0.390 0.859
6 Tl 0.062 0.650 0.742
7 Tl 0.222 0.487 0.111
8 Tl 0.350 0.092 0.412
9 Tl 0.375 0.111 0.889
10 Tl 0.513 0.625 0.736
11 Tl 0.680 0.938 0.588
12 Tl 0.889 0.778 0.264
13 Tl 0.908 0.320 0.258
14 Ag 0.250 0.750 0.500

Summary:
As for the formation energy from the elements: -3.0 eV per formula unit.

[3]
Compound: Pm2Tl3Ag2
Source: the Alexandria database
Functional: GGA-PBE
Structure: relaxed

Cell lengths 5.091, 5.091, 8.551 Å; angles 107.77, 107.77, 60.36 degrees
Element x y z (fractional)
1 Pm 0.085 0.085 0.254
2 Pm 0.915 0.915 0.746
3 Tl 0.352 0.352 0.055
4 Tl 0.500 0.500 0.500
5 Tl 0.648 0.648 0.945
6 Ag 0.212 0.212 0.635
7 Ag 0.788 0.788 0.365

Summary:
As for the formation energy from the elements: -1.6 eV per formula unit.

[4]
Compound: Pm3Tl3Ag
Source: the Alexandria database
Functional: GGA-PBE
Structure: relaxed

Cell lengths 7.422, 7.422, 7.454 Å; angles 90.95, 90.95, 87.70 degrees
Element x y z (fractional)
1 Pm 0.056 0.439 0.746
2 Pm 0.092 0.092 0.271
3 Pm 0.439 0.056 0.746
4 Pm 0.561 0.944 0.254
5 Pm 0.908 0.908 0.729
6 Pm 0.944 0.561 0.254
7 Tl 0.228 0.772 0.000
8 Tl 0.253 0.747 0.500
9 Tl 0.357 0.357 0.065
10 Tl 0.643 0.643 0.935
11 Tl 0.747 0.253 0.500
12 Tl 0.772 0.228 0.000
13 Ag 0.361 0.361 0.454
14 Ag 0.639 0.639 0.546

Summary:
As for the formation energy from the elements: -1.5 eV per formula unit.

[5]
Compound: Pm2Tl2Ag3
Source: the Alexandria database
Functional: GGA-PBE
Structure: relaxed

Cell lengths 13.786, 13.786, 3.420 Å; angles 90.00, 90.00, 164.24 degrees
Element x y z (fractional)
1 Pm 0.124 0.876 0.000
2 Pm 0.876 0.124 0.000
3 Tl 0.295 0.705 0.500
4 Tl 0.705 0.295 0.500
5 Ag 0.000 0.000 0.000
6 Ag 0.447 0.553 0.500
7 Ag 0.553 0.447 0.500

Summary:
As for the formation energy from the elements: -0.9 eV per formula unit.

[6]
Compound: Pm2Tl2Ag15
Source: the Alexandria database
Functional: GGA-PBE
Structure: relaxed

Cell lengths 7.404, 7.404, 7.404 Å; angles 83.17, 83.17, 83.17 degrees
Element x y z (fractional)
1 Pm 0.147 0.147 0.147
2 Pm 0.853 0.853 0.853
3 Tl 0.393 0.393 0.393
4 Tl 0.607 0.607 0.607
5 Ag 0.000 0.500 0.500
6 Ag 0.149 0.149 0.666
7 Ag 0.149 0.666 0.149
8 Ag 0.184 0.500 0.816
9 Ag 0.184 0.816 0.500
10 Ag 0.334 0.851 0.851
11 Ag 0.500 0.000 0.500
12 Ag 0.500 0.184 0.816
13 Ag 0.500 0.500 0.000
14 Ag 0.500 0.816 0.184
15 Ag 0.666 0.149 0.149
16 Ag 0.816 0.184 0.500
17 Ag 0.816 0.500 0.184
18 Ag 0.851 0.334 0.851
19 Ag 0.851 0.851 0.334

Summary:
As for the formation energy from the elements: -0.9 eV per formula unit.

[7]
Compound: Pm3Tl2Ag
Source: the Alexandria database
Functional: GGA-PBE
Structure: relaxed

Cell lengths 3.695, 3.695, 12.344 Å; angles 90.00, 90.00, 90.00 degrees
Element x y z (fractional)
1 Pm 0.000 0.000 0.000
2 Pm 0.000 0.000 0.346
3 Pm 0.000 0.000 0.654
4 Tl 0.500 0.500 0.175
5 Tl 0.500 0.500 0.825
6 Ag 0.500 0.500 0.500

Summary:
The calculation puts the distance to the lowest polymorph of the same formula at 0 meV/atom. As for the formation energy from the elements: -2.1 eV per formula unit.

[8]
Compound: Pm5Tl4Ag
Source: the Alexandria database
Functional: GGA-PBE
Structure: relaxed

Cell lengths 3.699, 3.699, 20.820 Å; angles 90.00, 90.00, 90.00 degrees
Element x y z (fractional)
1 Pm 0.000 0.000 0.000
2 Pm 0.000 0.000 0.205
3 Pm 0.000 0.000 0.409
4 Pm 0.000 0.000 0.591
5 Pm 0.000 0.000 0.795
6 Tl 0.500 0.500 0.103
7 Tl 0.500 0.500 0.308
8 Tl 0.500 0.500 0.692
9 Tl 0.500 0.500 0.897
10 Ag 0.500 0.500 0.500

Summary:
As for the formation energy from the elements: -3.7 eV per formula unit.